# La2TbDyHg2 | the Alexandria database | PBE-GGA | relaxed
data_La2TbDyHg2
_cell_length_a 5.199
_cell_length_b 9.659
_cell_length_c 7.184
_cell_angle_alpha 90.00
_cell_angle_beta 90.00
_cell_angle_gamma 90.00
_symmetry_space_group_name_H-M 'P m c 21'
_symmetry_Int_Tables_number 26
loop_
_symmetry_equiv_pos_as_xyz
'x,y,z'
'-x,-y,z+1/2'
'-x,y,z'
'x,-y,z+1/2'
loop_
_atom_site_label
_atom_site_fract_x
_atom_site_fract_y
_atom_site_fract_z
La1 0.000 0.056 0.000
La2 0.500 0.172 0.310
Tb1 0.500 0.447 0.971
Dy1 0.000 0.330 0.657
Hg1 0.000 0.364 0.224
Hg2 0.500 0.164 0.752
# total magnetic moment = 0.0 μB/cell
# density = 9.2 g cm⁻³
# electronic total energy = -3.622 eV per atom

# LaTm3Se4 | the Alexandria database | PBE-GGA | relaxed
data_LaTm3Se4
_cell_length_a 8.337
_cell_length_b 11.580
_cell_length_c 4.020
_cell_angle_alpha 90.00
_cell_angle_beta 90.00
_cell_angle_gamma 90.00
_symmetry_space_group_name_H-M 'C m m m'
_symmetry_Int_Tables_number 65
_symmetry_space_group_name_Hall '-C 2 2'
loop_
_atom_site_label
_atom_site_fract_x
_atom_site_fract_y
_atom_site_fract_z
La1 0.000 0.000 0.000
Tm1 0.000 0.500 0.000
Tm2 0.250 0.250 0.500
Se1 0.000 0.258 0.000
Se2 0.234 0.500 0.500
# total magnetic moment = 0.0 μB/cell
# density = 8.2 g cm⁻³
# electronic total energy = -5.767 eV per atom

# Ba2HgBr | the Alexandria database | PBE-GGA | relaxed
data_Ba2HgBr
_cell_length_a 4.213
_cell_length_b 4.258
_cell_length_c 9.318
_cell_angle_alpha 90.00
_cell_angle_beta 90.00
_cell_angle_gamma 90.00
_symmetry_space_group_name_H-M 'P m m m'
_symmetry_Int_Tables_number 47
loop_
_symmetry_equiv_pos_as_xyz
'x,y,z'
'-x,-y,-z'
'-x,-y,z'
'x,y,-z'
'x,-y,-z'
'-x,y,z'
'-x,y,-z'
'x,-y,z'
loop_
_atom_site_label
_atom_site_fract_x
_atom_site_fract_y
_atom_site_fract_z
Ba1 0.000 0.000 0.220
Hg1 0.500 0.500 0.000
Br1 0.500 0.000 0.500
# energy relative to the lowest polymorph listed for this composition = 23 meV per atom
# total magnetic moment = 0.0 μB/cell
# density = 5.5 g cm⁻³
# electronic total energy = -2.463 eV per atom

# Cu2TcPt | the Alexandria database | PBE-GGA | relaxed
data_Cu2TcPt
_cell_length_a 2.622
_cell_length_b 4.412
_cell_length_c 4.827
_cell_angle_alpha 90.00
_cell_angle_beta 91.09
_cell_angle_gamma 90.00
_symmetry_space_group_name_H-M 'P 1 2/m 1'
_symmetry_Int_Tables_number 10
loop_
_symmetry_equiv_pos_as_xyz
'x,y,z'
'-x,-y,-z'
'-x,y,-z'
'x,-y,z'
loop_
_atom_site_label
_atom_site_fract_x
_atom_site_fract_y
_atom_site_fract_z
Cu1 0.170 0.000 0.237
Tc1 0.500 0.500 0.000
Pt1 0.000 0.500 0.500
# energy relative to the lowest polymorph listed for this composition = 139 meV per atom
# total magnetic moment = 0.0 μB/cell
# density = 12.5 g cm⁻³
# electronic total energy = -6.027 eV per atom

# NaCu2Rh | the Alexandria database | PBE-GGA | relaxed
data_NaCu2Rh
_cell_length_a 6.151
_cell_length_b 6.151
_cell_length_c 6.151
_cell_angle_alpha 90.00
_cell_angle_beta 90.00
_cell_angle_gamma 90.00
_symmetry_space_group_name_H-M 'F m -3 m'
_symmetry_Int_Tables_number 225
_symmetry_space_group_name_Hall '-F 4 2 3'
loop_
_atom_site_label
_atom_site_fract_x
_atom_site_fract_y
_atom_site_fract_z
Na1 0.000 0.000 0.000
Cu1 0.250 0.250 0.250
Rh1 0.000 0.000 0.500
# energy relative to the lowest polymorph listed for this composition = 74 meV per atom
# total magnetic moment = 0.0 μB/cell
# density = 7.2 g cm⁻³
# electronic total energy = -3.929 eV per atom

# CaIn2Au10 | the Alexandria database | PBE-GGA | relaxed
data_CaIn2Au10
_cell_length_a 6.266
_cell_length_b 12.755
_cell_length_c 13.474
_cell_angle_alpha 90.00
_cell_angle_beta 90.00
_cell_angle_gamma 90.00
_symmetry_space_group_name_H-M 'F m m m'
_symmetry_Int_Tables_number 69
_symmetry_space_group_name_Hall '-F 2 2'
loop_
_atom_site_label
_atom_site_fract_x
_atom_site_fract_y
_atom_site_fract_z
Ca1 0.000 0.000 0.000
In1 0.250 0.000 0.250
Au1 0.000 0.110 0.391
Au2 0.000 0.169 0.166
Au3 0.250 0.250 0.000
# total magnetic moment = 0.0 μB/cell
# density = 13.8 g cm⁻³
# electronic total energy = -3.289 eV per atom

# KMnSnS3 | the Alexandria database | PBE-GGA | relaxed
data_KMnSnS3
_cell_length_a 8.969
_cell_length_b 4.031
_cell_length_c 9.187
_cell_angle_alpha 90.00
_cell_angle_beta 102.29
_cell_angle_gamma 90.00
_symmetry_space_group_name_H-M 'P 1 21/m 1'
_symmetry_Int_Tables_number 11
loop_
_symmetry_equiv_pos_as_xyz
'x,y,z'
'-x,-y,-z'
'-x,y+1/2,-z'
'x,-y+1/2,z'
loop_
_atom_site_label
_atom_site_fract_x
_atom_site_fract_y
_atom_site_fract_z
K1 0.167 0.250 0.198
Mn1 0.076 0.250 0.580
Sn1 0.360 0.750 0.852
S1 0.131 0.250 0.829
S2 0.177 0.750 0.529
S3 0.425 0.750 0.142
# total magnetic moment = 5.6 μB/cell
# density = 3.2 g cm⁻³
# electronic total energy = -5.091 eV per atom

# Ce3SmTl3 | the Alexandria database | PBE-GGA | relaxed
data_Ce3SmTl3
_cell_length_a 9.6004
_cell_length_b 9.6004
_cell_length_c 5.1022
_cell_angle_alpha 90.00
_cell_angle_beta 90.00
_cell_angle_gamma 120.00
_symmetry_space_group_name_H-M 'P 63/m'
_symmetry_Int_Tables_number 176
_symmetry_space_group_name_Hall '-P 6c'
loop_
_atom_site_label
_atom_site_fract_x
_atom_site_fract_y
_atom_site_fract_z
Ce1 0.0029 0.2246 0.2500
Sm1 0.3333 0.6667 0.2500
Tl1 0.0720 0.4572 0.7500
# total magnetic moment = 6.6 μB/cell
# density = 9.7 g cm⁻³
# electronic total energy = -4.354 eV per atom

# Tl2CuCl4 | the Alexandria database | PBE-GGA | relaxed
data_Tl2CuCl4
_cell_length_a 4.971
_cell_length_b 4.971
_cell_length_c 15.620
_cell_angle_alpha 90.00
_cell_angle_beta 90.00
_cell_angle_gamma 90.00
_symmetry_space_group_name_H-M 'I 4/m m m'
_symmetry_Int_Tables_number 139
_symmetry_space_group_name_Hall '-I 4 2'
loop_
_atom_site_label
_atom_site_fract_x
_atom_site_fract_y
_atom_site_fract_z
Tl1 0.000 0.000 0.140
Cu1 0.000 0.000 0.500
Cl1 0.000 0.000 0.349
Cl2 0.000 0.500 0.000
# total magnetic moment = 1.8 μB/cell
# density = 5.3 g cm⁻³
# electronic total energy = -3.103 eV per atom

# BeAg2Te | the Alexandria database | PBE-GGA | relaxed
data_BeAg2Te
_cell_length_a 5.670
_cell_length_b 9.019
_cell_length_c 3.006
_cell_angle_alpha 90.00
_cell_angle_beta 90.00
_cell_angle_gamma 90.00
_symmetry_space_group_name_H-M 'C m m m'
_symmetry_Int_Tables_number 65
_symmetry_space_group_name_Hall '-C 2 2'
loop_
_atom_site_label
_atom_site_fract_x
_atom_site_fract_y
_atom_site_fract_z
Be1 0.000 0.000 0.000
Ag1 0.250 0.250 0.500
Te1 0.000 0.500 0.000
# energy relative to the lowest polymorph listed for this composition = 341 meV per atom
# total magnetic moment = 0.0 μB/cell
# density = 7.6 g cm⁻³
# electronic total energy = -2.663 eV per atom

# CuSi | the Alexandria database | PBE-GGA | relaxed
data_CuSi
_cell_length_a 12.356
_cell_length_b 2.755
_cell_length_c 5.096
_cell_angle_alpha 90.00
_cell_angle_beta 114.26
_cell_angle_gamma 90.00
_symmetry_space_group_name_H-M 'C 1 m 1'
_symmetry_Int_Tables_number 8
loop_
_symmetry_equiv_pos_as_xyz
'x,y,z'
'x,-y,z'
'x+1/2,y+1/2,z'
'x+1/2,-y+1/2,z'
loop_
_atom_site_label
_atom_site_fract_x
_atom_site_fract_y
_atom_site_fract_z
Cu1 0.000 0.000 0.000
Cu2 0.000 0.000 0.496
Cu3 0.160 0.500 0.908
Si1 0.152 0.500 0.400
Si2 0.340 0.000 0.088
Si3 0.349 0.000 0.597
# total magnetic moment = 0.0 μB/cell
# density = 5.8 g cm⁻³
# electronic total energy = -4.655 eV per atom

# Dy3ErC | the Alexandria database | PBE-GGA | relaxed
data_Dy3ErC
_cell_length_a 5.044
_cell_length_b 5.044
_cell_length_c 5.044
_cell_angle_alpha 90.00
_cell_angle_beta 90.00
_cell_angle_gamma 90.00
_symmetry_space_group_name_H-M 'P m -3 m'
_symmetry_Int_Tables_number 221
_symmetry_space_group_name_Hall '-P 4 2 3'
loop_
_atom_site_label
_atom_site_fract_x
_atom_site_fract_y
_atom_site_fract_z
Dy1 0.000 0.000 0.500
Er1 0.500 0.500 0.500
C1 0.000 0.000 0.000
# total magnetic moment = 0.0 μB/cell
# density = 8.6 g cm⁻³
# electronic total energy = -5.532 eV per atom

# BaCa2PuCl8 | the Alexandria database | PBE-GGA | relaxed
data_BaCa2PuCl8
_cell_length_a 6.606
_cell_length_b 8.739
_cell_length_c 6.745
_cell_angle_alpha 90.00
_cell_angle_beta 90.28
_cell_angle_gamma 90.00
_symmetry_space_group_name_H-M 'P 1 2/m 1'
_symmetry_Int_Tables_number 10
loop_
_symmetry_equiv_pos_as_xyz
'x,y,z'
'-x,-y,-z'
'-x,y,-z'
'x,-y,z'
loop_
_atom_site_label
_atom_site_fract_x
_atom_site_fract_y
_atom_site_fract_z
Ba1 0.000 0.000 0.000
Ca1 0.500 0.255 0.500
Pu1 0.000 0.500 0.000
Cl1 0.239 0.267 0.180
Cl2 0.284 0.500 0.669
Cl3 0.292 0.000 0.647
# total magnetic moment = 6.0 μB/cell
# density = 3.2 g cm⁻³
# electronic total energy = -5.143 eV per atom

# SrLaNiPt | the Alexandria database | PBE-GGA | relaxed
data_SrLaNiPt
_cell_length_a 7.255
_cell_length_b 7.255
_cell_length_c 7.255
_cell_angle_alpha 90.00
_cell_angle_beta 90.00
_cell_angle_gamma 90.00
_symmetry_space_group_name_H-M 'F -4 3 m'
_symmetry_Int_Tables_number 216
_symmetry_space_group_name_Hall 'F -4 2 3'
loop_
_atom_site_label
_atom_site_fract_x
_atom_site_fract_y
_atom_site_fract_z
Sr1 0.000 0.000 0.000
La1 0.000 0.000 0.500
Ni1 0.250 0.250 0.750
Pt1 0.250 0.250 0.250
# total magnetic moment = 0.0 μB/cell
# density = 8.4 g cm⁻³
# electronic total energy = -5.111 eV per atom

# HfOsOF2 | the Alexandria database | PBE-GGA | relaxed
data_HfOsOF2
_cell_length_a 4.288
_cell_length_b 4.288
_cell_length_c 4.074
_cell_angle_alpha 90.00
_cell_angle_beta 90.00
_cell_angle_gamma 90.00
_symmetry_space_group_name_H-M 'P 4/m m m'
_symmetry_Int_Tables_number 123
_symmetry_space_group_name_Hall '-P 4 2'
loop_
_atom_site_label
_atom_site_fract_x
_atom_site_fract_y
_atom_site_fract_z
Hf1 0.000 0.000 0.000
Os1 0.500 0.500 0.500
O1 0.000 0.000 0.500
F1 0.000 0.500 0.000
# energy relative to the lowest polymorph listed for this composition = 0 meV per atom
# total magnetic moment = 4.0 μB/cell
# density = 9.4 g cm⁻³
# electronic total energy = -7.105 eV per atom

# Pm5AlS4 | the Alexandria database | PBE-GGA | relaxed
data_Pm5AlS4
_cell_length_a 9.191
_cell_length_b 9.191
_cell_length_c 5.780
_cell_angle_alpha 90.00
_cell_angle_beta 90.00
_cell_angle_gamma 90.00
_symmetry_space_group_name_H-M 'I 4/m'
_symmetry_Int_Tables_number 87
_symmetry_space_group_name_Hall '-I 4'
loop_
_atom_site_label
_atom_site_fract_x
_atom_site_fract_y
_atom_site_fract_z
Pm1 0.000 0.000 0.000
Pm2 0.102 0.693 0.500
Al1 0.000 0.000 0.500
S1 0.102 0.699 0.000
# total magnetic moment = 0.0 μB/cell
# density = 6.0 g cm⁻³
# electronic total energy = -6.069 eV per atom

# HfMo2As2 | the Alexandria database | PBE-GGA | relaxed
data_HfMo2As2
_cell_length_a 7.250
_cell_length_b 7.250
_cell_length_c 3.176
_cell_angle_alpha 90.00
_cell_angle_beta 90.00
_cell_angle_gamma 90.00
_symmetry_space_group_name_H-M 'P 4/m b m'
_symmetry_Int_Tables_number 127
_symmetry_space_group_name_Hall '-P 4 2ab'
loop_
_atom_site_label
_atom_site_fract_x
_atom_site_fract_y
_atom_site_fract_z
Hf1 0.000 0.000 0.000
Mo1 0.143 0.357 0.500
As1 0.150 0.650 0.000
# total magnetic moment = 0.0 μB/cell
# density = 10.4 g cm⁻³
# electronic total energy = -8.370 eV per atom

# Pr2Ho4Co | the Alexandria database | PBE-GGA | relaxed
data_Pr2Ho4Co
_cell_length_a 5.176
_cell_length_b 5.176
_cell_length_c 17.074
_cell_angle_alpha 90.00
_cell_angle_beta 90.00
_cell_angle_gamma 90.00
_symmetry_space_group_name_H-M 'I 4/m m m'
_symmetry_Int_Tables_number 139
_symmetry_space_group_name_Hall '-I 4 2'
loop_
_atom_site_label
_atom_site_fract_x
_atom_site_fract_y
_atom_site_fract_z
Pr1 0.000 0.000 0.142
Ho1 0.000 0.000 0.346
Ho2 0.000 0.500 0.000
Co1 0.000 0.000 0.500
# total magnetic moment = 0.0 μB/cell
# density = 7.3 g cm⁻³
# electronic total energy = -4.833 eV per atom

# SrSmPt2 | the Alexandria database | PBE-GGA | relaxed
data_SrSmPt2
_cell_length_a 3.608
_cell_length_b 3.608
_cell_length_c 7.378
_cell_angle_alpha 90.00
_cell_angle_beta 90.00
_cell_angle_gamma 90.00
_symmetry_space_group_name_H-M 'P 4/m m m'
_symmetry_Int_Tables_number 123
_symmetry_space_group_name_Hall '-P 4 2'
loop_
_atom_site_label
_atom_site_fract_x
_atom_site_fract_y
_atom_site_fract_z
Sr1 0.000 0.000 0.000
Sm1 0.000 0.000 0.500
Pt1 0.500 0.500 0.283
# energy relative to the lowest polymorph listed for this composition = 0 meV per atom
# total magnetic moment = 0.0 μB/cell
# density = 10.9 g cm⁻³
# electronic total energy = -5.610 eV per atom

# TmSc2Tl2Zn2 | the Alexandria database | PBE-GGA | relaxed
data_TmSc2Tl2Zn2
_cell_length_a 4.6747
_cell_length_b 4.6747
_cell_length_c 25.1093
_cell_angle_alpha 90.00
_cell_angle_beta 90.00
_cell_angle_gamma 120.00
_symmetry_space_group_name_H-M 'R -3 m'
_symmetry_Int_Tables_number 166
_symmetry_space_group_name_Hall '-R 3 2"'
loop_
_atom_site_label
_atom_site_fract_x
_atom_site_fract_y
_atom_site_fract_z
Tm1 0.0000 0.0000 0.0000
Sc1 0.0000 0.0000 0.1363
Tl1 0.0000 0.0000 0.2650
Zn1 0.0000 0.0000 0.4444
# total magnetic moment = 0.2 μB/cell
# density = 8.4 g cm⁻³
# electronic total energy = -3.631 eV per atom